# 1
# SrFeRu2 (PBEsol, optimized geometry)
data_SrFeRu2
_symmetry_space_group_name_H-M 'P 1'
_symmetry_Int_Tables_number 1
_cell_length_a 3.110
_cell_length_b 3.110
_cell_length_c 7.231
_cell_angle_alpha 90.00
_cell_angle_beta 90.00
_cell_angle_gamma 90.00
loop_
_symmetry_equiv_pos_as_xyz
'x,y,z'
loop_
_atom_site_label
_atom_site_type_symbol
_atom_site_fract_x
_atom_site_fract_y
_atom_site_fract_z
Sr1 Sr 0.000 0.000 0.000
Fe1 Fe 0.500 0.500 0.332
Ru1 Ru 0.000 0.000 0.487
Ru2 Ru 0.500 0.500 0.680
# - total moment (μB per formula unit) = 2.95
# - calculated total energy (eV/atom) = -7.180
# - ΔE_f (kJ/mol of formula units) = 234.4
# - polymorph energy (0 for the lowest one) (meV per atom) = 31.0

# 2
# SrFeRu2 (PBEsol, optimized geometry)
data_SrFeRu2
_symmetry_space_group_name_H-M 'P 1'
_symmetry_Int_Tables_number 1
_cell_length_a 2.989
_cell_length_b 2.989
_cell_length_c 7.449
_cell_angle_alpha 90.00
_cell_angle_beta 90.00
_cell_angle_gamma 90.00
loop_
_symmetry_equiv_pos_as_xyz
'x,y,z'
loop_
_atom_site_label
_atom_site_type_symbol
_atom_site_fract_x
_atom_site_fract_y
_atom_site_fract_z
Sr1 Sr 0.000 0.000 0.000
Fe1 Fe 0.000 0.000 0.500
Ru1 Ru 0.500 0.500 0.321
Ru2 Ru 0.500 0.500 0.679
# - total moment (μB per formula unit) = 2.29
# - calculated total energy (eV/atom) = -7.211
# - ΔE_f (kJ/mol of formula units) = 222.4
# - polymorph energy (0 for the lowest one) (meV per atom) = 0.0

# 3
# Sr2FeRu (PBEsol, optimized geometry)
data_Sr2FeRu
_symmetry_space_group_name_H-M 'P 1'
_symmetry_Int_Tables_number 1
_cell_length_a 3.958
_cell_length_b 6.122
_cell_length_c 6.122
_cell_angle_alpha 44.84
_cell_angle_beta 90.00
_cell_angle_gamma 90.00
loop_
_symmetry_equiv_pos_as_xyz
'x,y,z'
loop_
_atom_site_label
_atom_site_type_symbol
_atom_site_fract_x
_atom_site_fract_y
_atom_site_fract_z
Sr1 Sr 0.000 0.000 0.000
Sr2 Sr 0.500 0.280 0.280
Fe1 Fe 0.000 0.690 0.690
Ru1 Ru 0.500 0.587 0.587
# - total moment (μB per formula unit) = 3.11
# - calculated total energy (eV/atom) = -5.257
# - ΔE_f (kJ/mol of formula units) = 172.4
# - polymorph energy (0 for the lowest one) (meV per atom) = 0.0

# 4
# Sr3FeRu (PBEsol, optimized geometry)
data_Sr3FeRu
_symmetry_space_group_name_H-M 'P 1'
_symmetry_Int_Tables_number 1
_cell_length_a 5.528
_cell_length_b 5.528
_cell_length_c 5.528
_cell_angle_alpha 90.00
_cell_angle_beta 90.00
_cell_angle_gamma 90.00
loop_
_symmetry_equiv_pos_as_xyz
'x,y,z'
loop_
_atom_site_label
_atom_site_type_symbol
_atom_site_fract_x
_atom_site_fract_y
_atom_site_fract_z
Sr1 Sr 0.000 0.000 0.500
Sr2 Sr 0.000 0.500 0.000
Sr3 Sr 0.500 0.000 0.000
Fe1 Fe 0.500 0.500 0.500
Ru1 Ru 0.000 0.000 0.000
# - total moment (μB per formula unit) = 3.04
# - calculated total energy (eV/atom) = -4.011
# - ΔE_f (kJ/mol of formula units) = 444.0
# - polymorph energy (0 for the lowest one) (meV per atom) = 0.0

# 5
# Sr2FeRu (PBEsol, optimized geometry)
data_Sr2FeRu
_symmetry_space_group_name_H-M 'P 1'
_symmetry_Int_Tables_number 1
_cell_length_a 3.401
_cell_length_b 3.401
_cell_length_c 8.827
_cell_angle_alpha 90.00
_cell_angle_beta 90.00
_cell_angle_gamma 90.00
loop_
_symmetry_equiv_pos_as_xyz
'x,y,z'
loop_
_atom_site_label
_atom_site_type_symbol
_atom_site_fract_x
_atom_site_fract_y
_atom_site_fract_z
Sr1 Sr 0.000 0.000 0.000
Sr2 Sr 0.500 0.500 0.415
Fe1 Fe 0.000 0.000 0.670
Ru1 Ru 0.500 0.500 0.746
# - total moment (μB per formula unit) = 3.27
# - calculated total energy (eV/atom) = -5.241
# - ΔE_f (kJ/mol of formula units) = 178.8
# - polymorph energy (0 for the lowest one) (meV per atom) = 16.4

# 6
# SrFeRu2 (PBEsol, optimized geometry)
data_SrFeRu2
_symmetry_space_group_name_H-M 'P 1'
_symmetry_Int_Tables_number 1
_cell_length_a 4.510
_cell_length_b 4.510
_cell_length_c 4.510
_cell_angle_alpha 60.00
_cell_angle_beta 60.00
_cell_angle_gamma 60.00
loop_
_symmetry_equiv_pos_as_xyz
'x,y,z'
loop_
_atom_site_label
_atom_site_type_symbol
_atom_site_fract_x
_atom_site_fract_y
_atom_site_fract_z
Sr1 Sr 0.000 0.000 0.000
Fe1 Fe 0.500 0.500 0.500
Ru1 Ru 0.250 0.250 0.250
Ru2 Ru 0.750 0.750 0.750
# - total moment (μB per formula unit) = 4.67
# - calculated total energy (eV/atom) = -6.842
# - ΔE_f (kJ/mol of formula units) = 364.8
# - polymorph energy (0 for the lowest one) (meV per atom) = 369.0